Run P
BeTcRh | PBE | relaxed

```
6
Lattice="3.5381 0.0000 0.0000 -1.7690 3.0640 0.0000 0.0000 0.0000 37.2529" Properties=species:S:1:pos:R:3 pbc="T T T"
Be 0.0000 2.0427 9.3132
Be 1.7690 1.0213 27.9397
Tc 0.0000 0.0000 9.3132
Tc 0.0000 0.0000 27.9397
Rh 0.0000 0.0000 0.0000
Rh 0.0000 0.0000 18.6265
```

Values from the calculation:
- Density of states at the Fermi level: 1.9198 states/eV/atom
- Size of the total moment: 8.168 Bohr magnetons per cell

Run Q
BeTcRh | PBE | relaxed

```
6
Lattice="4.2393 0.0000 0.0000 -2.1197 3.6714 0.0000 0.0000 0.0000 5.2042" Properties=species:S:1:pos:R:3 pbc="T T T"
Be 0.0000 0.0000 0.0000
Be 0.0000 0.0000 2.6021
Tc 0.0000 2.4476 1.3011
Tc 2.1197 1.2238 3.9032
Rh 0.0000 2.4476 3.9032
Rh 2.1197 1.2238 1.3011
```

Values from the calculation:
- Density of states at the Fermi level: 1.0750 states/eV/atom
- Size of the total moment: 0.000 Bohr magnetons per cell

Pick the least stable structure from those above. Pick: run P